# 1
First-principles (GGA-PBEsol) data for crystalline LiCa3OsO6 at its relaxed geometry, as listed in the Alexandria database.

Cell lengths 6.411, 6.411, 6.411 Å; angles 91.90, 91.90, 91.90 degrees
Atoms (fractional coordinates):
Li (0.250, 0.250, 0.250)
Li (0.750, 0.750, 0.750)
Ca (0.105, 0.750, 0.395)
Ca (0.250, 0.605, 0.895)
Ca (0.395, 0.105, 0.750)
Ca (0.605, 0.895, 0.250)
Ca (0.750, 0.395, 0.105)
Ca (0.895, 0.250, 0.605)
Os (0.000, 0.000, 0.000)
Os (0.500, 0.500, 0.500)
O (0.050, 0.922, 0.707)
O (0.078, 0.293, 0.950)
O (0.207, 0.422, 0.550)
O (0.293, 0.950, 0.078)
O (0.422, 0.550, 0.207)
O (0.450, 0.793, 0.578)
O (0.550, 0.207, 0.422)
O (0.578, 0.450, 0.793)
O (0.707, 0.050, 0.922)
O (0.793, 0.578, 0.450)
O (0.922, 0.707, 0.050)
O (0.950, 0.078, 0.293)

## Properties
Uncorrected energy (eV per atom): -7.033
Volume (Å³ per atom): 11.96
ΔE_f (raw) (eV/atom): -2.30
D(E_F) (states/eV/cell): 1.75

=====

# 2
First-principles (GGA-PBEsol) data for crystalline LiCaP2O at its relaxed geometry, as listed in the Alexandria database.

Cell lengths 5.313, 5.313, 4.174 Å; angles 90.00, 90.00, 90.00 degrees
Atoms (fractional coordinates):
Li (0.000, 0.000, 0.000)
Ca (0.500, 0.500, 0.500)
P (0.000, 0.500, 0.500)
P (0.500, 0.000, 0.500)
O (0.500, 0.500, 0.000)

## Properties
Uncorrected energy (eV per atom): -3.852
Volume (Å³ per atom): 23.56
ΔE_f (raw) (eV/atom): 0.33
D(E_F) (states/eV/cell): 4.91

=====

# 3
First-principles (GGA-PBEsol) data for crystalline LiCaPrTeO6 at its relaxed geometry, as listed in the Alexandria database.

Cell lengths 5.477, 5.683, 9.458 Å; angles 90.00, 124.81, 90.00 degrees
Atoms (fractional coordinates):
Li (0.000, 0.238, 0.000)
Li (0.000, 0.762, 0.500)
Ca (0.236, 0.194, 0.751)
Ca (0.236, 0.806, 0.251)
Pr (0.767, 0.309, 0.254)
Pr (0.767, 0.691, 0.754)
Te (0.501, 0.244, 0.502)
Te (0.501, 0.756, 0.002)
O (0.169, 0.056, 0.457)
O (0.169, 0.944, 0.957)
O (0.262, 0.472, 0.950)
O (0.262, 0.528, 0.450)
O (0.352, 0.215, 0.262)
O (0.352, 0.785, 0.762)
O (0.646, 0.277, 0.742)
O (0.646, 0.723, 0.242)
O (0.737, 0.036, 0.052)
O (0.737, 0.964, 0.552)
O (0.831, 0.436, 0.547)
O (0.831, 0.564, 0.047)

## Properties
Uncorrected energy (eV per atom): -6.789
Volume (Å³ per atom): 12.08
ΔE_f (raw) (eV/atom): -2.36
D(E_F) (states/eV/cell): 0.00

=====

# 4
First-principles (GGA-PBEsol) data for crystalline LiCa2ReO6 at its relaxed geometry, as listed in the Alexandria database.

Cell lengths 5.411, 5.411, 5.411 Å; angles 60.00, 60.00, 60.00 degrees
Atoms (fractional coordinates):
Li (0.000, 0.000, 0.000)
Ca (0.250, 0.250, 0.250)
Ca (0.750, 0.750, 0.750)
Re (0.500, 0.500, 0.500)
O (0.255, 0.255, 0.745)
O (0.255, 0.745, 0.255)
O (0.255, 0.745, 0.745)
O (0.745, 0.255, 0.255)
O (0.745, 0.255, 0.745)
O (0.745, 0.745, 0.255)

## Properties
Uncorrected energy (eV per atom): -7.368
Volume (Å³ per atom): 11.20
ΔE_f (raw) (eV/atom): -2.26
D(E_F) (states/eV/cell): 0.00

=====

# 5
First-principles (GGA-PBEsol) data for crystalline Li2Ca2Si2O7 at its relaxed geometry, as listed in the Alexandria database.

Cell lengths 5.085, 5.085, 41.201 Å; angles 90.00, 90.00, 120.00 degrees
Atoms (fractional coordinates):
Li (0.288, 0.587, 0.026)
Li (0.288, 0.700, 0.141)
Li (0.300, 0.587, 0.474)
Li (0.300, 0.712, 0.693)
Li (0.413, 0.700, 0.359)
Li (0.413, 0.712, 0.807)
Li (0.587, 0.288, 0.307)
Li (0.587, 0.300, 0.859)
Li (0.700, 0.288, 0.193)
Li (0.700, 0.413, 0.974)
Li (0.712, 0.300, 0.641)
Li (0.712, 0.413, 0.526)
Ca (0.000, 0.038, 0.833)
Ca (0.000, 0.962, 0.333)
Ca (0.037, 0.074, 0.750)
Ca (0.037, 0.963, 0.417)
Ca (0.038, 0.000, 0.500)
Ca (0.038, 0.038, 0.667)
Ca (0.074, 0.037, 0.583)
Ca (0.926, 0.963, 0.083)
Ca (0.962, 0.000, 0.000)
Ca (0.962, 0.962, 0.167)
Ca (0.963, 0.037, 0.917)
Ca (0.963, 0.926, 0.250)
Si (0.273, 0.627, 0.288)
Si (0.273, 0.645, 0.879)
Si (0.355, 0.627, 0.212)
Si (0.355, 0.727, 0.954)
Si (0.373, 0.645, 0.621)
Si (0.373, 0.727, 0.546)
Si (0.627, 0.273, 0.046)
Si (0.627, 0.355, 0.121)
Si (0.645, 0.273, 0.454)
Si (0.645, 0.373, 0.712)
Si (0.727, 0.355, 0.379)
Si (0.727, 0.373, 0.788)
O (0.050, 0.381, 0.792)
O (0.050, 0.669, 0.374)
O (0.057, 0.289, 0.211)
O (0.057, 0.768, 0.955)
O (0.130, 0.477, 0.521)
O (0.130, 0.653, 0.646)
O (0.220, 0.610, 0.583)
O (0.232, 0.289, 0.289)
O (0.232, 0.943, 0.878)
O (0.289, 0.057, 0.122)
O (0.289, 0.232, 0.045)
O (0.331, 0.381, 0.708)
O (0.331, 0.950, 0.459)
O (0.347, 0.477, 0.979)
O (0.347, 0.870, 0.187)
O (0.381, 0.050, 0.541)
O (0.381, 0.331, 0.626)
O (0.390, 0.610, 0.917)
O (0.390, 0.780, 0.250)
O (0.477, 0.130, 0.813)
O (0.477, 0.347, 0.354)
O (0.523, 0.653, 0.854)
O (0.523, 0.870, 0.313)
O (0.610, 0.220, 0.750)
O (0.610, 0.390, 0.417)
O (0.619, 0.669, 0.126)
O (0.619, 0.950, 0.041)
O (0.653, 0.130, 0.687)
O (0.653, 0.523, 0.479)
O (0.669, 0.050, 0.959)
O (0.669, 0.619, 0.208)
O (0.711, 0.768, 0.545)
O (0.711, 0.943, 0.622)
O (0.768, 0.057, 0.378)
O (0.768, 0.711, 0.789)
O (0.780, 0.390, 0.083)
O (0.870, 0.347, 0.146)
O (0.870, 0.523, 0.021)
O (0.943, 0.232, 0.455)
O (0.943, 0.711, 0.711)
O (0.950, 0.331, 0.874)
O (0.950, 0.619, 0.292)

## Properties
Uncorrected energy (eV per atom): -7.188
Volume (Å³ per atom): 11.83
ΔE_f (raw) (eV/atom): -2.85
D(E_F) (states/eV/cell): 0.00

=====

# 6
First-principles (GGA-PBEsol) data for crystalline LiCa2Os2 at its relaxed geometry, as listed in the Alexandria database.

Cell lengths 5.553, 5.553, 5.553 Å; angles 120.66, 120.66, 88.87 degrees
Atoms (fractional coordinates):
Li (0.000, 0.000, 0.000)
Ca (0.250, 0.750, 0.500)
Ca (0.750, 0.250, 0.500)
Os (0.355, 0.355, 0.000)
Os (0.645, 0.645, 0.000)

## Properties
ΔH_f (0 K) (meV per atom): 987
Uncorrected energy (eV per atom): -5.146
Volume (Å³ per atom): 23.97
D(E_F) (states/eV/cell): 8.52

=====

# 7
First-principles (GGA-PBEsol) data for crystalline LiCaOs at its relaxed geometry, as listed in the Alexandria database.

Cell lengths 4.567, 4.567, 4.567 Å; angles 60.00, 60.00, 60.00 degrees
Atoms (fractional coordinates):
Li (0.000, 0.000, 0.000)
Ca (0.250, 0.250, 0.250)
Os (0.500, 0.500, 0.500)

## Properties
ΔH_f (0 K) (meV per atom): 1499
Uncorrected energy (eV per atom): -3.939
Volume (Å³ per atom): 22.46
Energy above the lowest structure with this stoichiometry (meV per atom): 886
D(E_F) (states/eV/cell): 5.60

=====

# 8
First-principles (GGA-PBEsol) data for crystalline Li3CaOs at its relaxed geometry, as listed in the Alexandria database.

Cell lengths 4.258, 4.258, 4.258 Å; angles 90.00, 90.00, 90.00 degrees
Atoms (fractional coordinates):
Li (0.000, 0.000, 0.500)
Li (0.000, 0.500, 0.000)
Li (0.500, 0.000, 0.000)
Ca (0.000, 0.000, 0.000)
Os (0.500, 0.500, 0.500)

## Properties
ΔH_f (0 K) (meV per atom): 1573
Uncorrected energy (eV per atom): -2.476
Volume (Å³ per atom): 15.45
D(E_F) (states/eV/cell): 1.11

=====

# 9
First-principles (GGA-PBEsol) data for crystalline LiCaOs at its relaxed geometry, as listed in the Alexandria database.

Cell lengths 7.334, 7.334, 7.334 Å; angles 157.92, 157.92, 31.43 degrees
Atoms (fractional coordinates):
Li (0.000, 0.000, 0.000)
Ca (0.287, 0.287, 0.000)
Os (0.633, 0.633, 0.000)

## Properties
ΔH_f (0 K) (meV per atom): 613
Uncorrected energy (eV per atom): -4.826
Volume (Å³ per atom): 18.57
Energy above the lowest structure with this stoichiometry (meV per atom): 0
D(E_F) (states/eV/cell): 2.99

=====

# 10
First-principles (GGA-PBEsol) data for crystalline LiCaP2 at its relaxed geometry, as listed in the Alexandria database.

Cell lengths 8.207, 8.207, 8.207 Å; angles 23.16, 23.16, 23.16 degrees
Atoms (fractional coordinates):
Li (0.000, 0.000, 0.000)
Ca (0.500, 0.500, 0.500)
P (0.256, 0.256, 0.256)
P (0.744, 0.744, 0.744)

## Properties
ΔH_f (0 K) (meV per atom): -254
Uncorrected energy (eV per atom): -4.175
Volume (Å³ per atom): 18.76
D(E_F) (states/eV/cell): 1.74

=====

# 11
First-principles (GGA-PBEsol) data for crystalline Li3CaP at its relaxed geometry, as listed in the Alexandria database.

Cell lengths 4.724, 4.724, 4.724 Å; angles 90.00, 90.00, 90.00 degrees
Atoms (fractional coordinates):
Li (0.000, 0.000, 0.500)
Li (0.000, 0.500, 0.000)
Li (0.500, 0.000, 0.000)
Ca (0.500, 0.500, 0.500)
P (0.000, 0.000, 0.000)

## Properties
ΔH_f (0 K) (meV per atom): -296
Uncorrected energy (eV per atom): -3.061
Volume (Å³ per atom): 21.09
D(E_F) (states/eV/cell): 2.21

=====

# 12
First-principles (GGA-PBEsol) data for crystalline Li2Ca2P at its relaxed geometry, as listed in the Alexandria database.

Cell lengths 6.740, 6.740, 4.674 Å; angles 90.00, 90.00, 90.00 degrees
Atoms (fractional coordinates):
Li (0.138, 0.362, 0.000)
Li (0.362, 0.862, 0.000)
Li (0.638, 0.138, 0.000)
Li (0.862, 0.638, 0.000)
Ca (0.194, 0.694, 0.500)
Ca (0.306, 0.194, 0.500)
Ca (0.694, 0.806, 0.500)
Ca (0.806, 0.306, 0.500)
P (0.000, 0.000, 0.000)
P (0.500, 0.500, 0.000)

## Properties
ΔH_f (0 K) (meV per atom): -305
Uncorrected energy (eV per atom): -3.103
Volume (Å³ per atom): 21.23
D(E_F) (states/eV/cell): 5.57